(1)
FePtC2 after structural relaxation, computed with PBE.

Calculated values
* energy above the lowest structure with this stoichiometry: 0.000 eV per atom
* E: -7.575 eV/atom
* formation energy from the elements: 0.663 eV per atom

abc: 4.498 4.498 5.489
angles: 65.81 65.81 90.00
Element x y z (fractional)
C 0.586 0.125 0.250
C 0.164 0.625 0.250
C 0.375 0.414 0.750
C 0.875 0.836 0.750
Fe 0.500 0.500 0.000
Fe 0.250 0.750 0.500
Pt 0.000 0.000 0.000
Pt 0.750 0.250 0.500

=====

(2)
FePtC after structural relaxation, computed with PBE.

Calculated values
* energy above the lowest structure with this stoichiometry: 0.040 eV per atom
* E: -7.563 eV/atom
* formation energy from the elements: 0.346 eV per atom

abc: 6.687 2.737 8.492
angles: 90.00 109.79 90.00
Last column: magnetic moment on the atom in μB.
Element x y z (fractional)
C 0.046 0.000 0.227  -0.09
C 0.046 0.500 0.727  -0.09
C 0.908 0.000 0.059  -0.04
C 0.908 0.500 0.559  -0.04
Fe 0.070 0.000 0.466  2.06
Fe 0.070 0.500 0.966  2.06
Fe 0.258 0.000 0.805  1.78
Fe 0.258 0.500 0.305  1.78
Pt 0.427 0.000 0.122  0.35
Pt 0.427 0.500 0.622  0.35
Pt 0.664 0.000 0.457  0.06
Pt 0.664 0.500 0.957  0.06

=====

(3)
FePt2C2 after structural relaxation, computed with PBE.

Calculated values
* energy above the lowest structure with this stoichiometry: 0.000 eV per atom
* E: -7.152 eV/atom
* formation energy from the elements: 0.647 eV per atom

abc: 5.563 5.563 3.996
angles: 90.00 90.00 90.00
Element x y z (fractional)
C 0.250 0.750 0.000
C 0.750 0.750 0.000
C 0.750 0.250 0.000
C 0.250 0.250 0.000
Fe 0.000 0.000 0.000
Fe 0.500 0.500 0.000
Pt 0.250 0.750 0.500
Pt 0.750 0.750 0.500
Pt 0.750 0.250 0.500
Pt 0.250 0.250 0.500

=====

(4)
FePt2C2 after structural relaxation, computed with PBE.

Calculated values
* energy above the lowest structure with this stoichiometry: 0.105 eV per atom
* E: -7.047 eV/atom
* formation energy from the elements: 0.751 eV per atom

abc: 4.596 4.596 4.227
angles: 57.07 57.07 90.00
Last column: magnetic moment on the atom in μB.
Element x y z (fractional)
C 0.369 0.369 0.262  0.01
C 0.631 0.631 0.738  0.01
Fe 0.000 0.000 0.000  2.68
Pt 0.750 0.250 0.500  0.25
Pt 0.250 0.750 0.500  0.25

=====

(5)
FePtC after structural relaxation, computed with PBE.

Calculated values
* energy above the lowest structure with this stoichiometry: 0.003 eV per atom
* E: -7.599 eV/atom
* formation energy from the elements: 0.310 eV per atom

abc: 4.136 2.702 12.967
angles: 90.00 105.20 90.00
Last column: magnetic moment on the atom in μB.
Element x y z (fractional)
C 0.880 0.000 0.988  -0.09
C 0.880 0.500 0.488  -0.09
C 0.590 0.000 0.022  -0.05
C 0.590 0.500 0.522  -0.05
Fe 0.227 0.000 0.479  1.33
Fe 0.227 0.500 0.979  1.33
Fe 0.650 0.000 0.373  2.28
Fe 0.650 0.500 0.873  2.28
Pt 0.086 0.000 0.785  0.34
Pt 0.086 0.500 0.285  0.34
Pt 0.481 0.000 0.166  0.12
Pt 0.481 0.500 0.666  0.12

=====

(6)
FePtC after structural relaxation, computed with PBE.

Calculated values
* energy above the lowest structure with this stoichiometry: 0.032 eV per atom
* E: -7.570 eV/atom
* formation energy from the elements: 0.339 eV per atom

abc: 2.779 2.779 4.344
angles: 90.00 90.00 90.00
Last column: magnetic moment on the atom in μB.
Element x y z (fractional)
C 0.000 0.000 0.600  -0.09
Fe 0.500 0.500 0.684  1.88
Pt 0.000 0.000 0.142  0.02

=====

(7)
FePtC after structural relaxation, computed with PBE.

Calculated values
* energy above the lowest structure with this stoichiometry: 0.075 eV per atom
* E: -7.527 eV/atom
* formation energy from the elements: 0.382 eV per atom

abc: 4.528 2.867 6.158
angles: 90.00 123.16 90.00
Element x y z (fractional)
C 0.407 0.000 0.432
C 0.407 0.500 0.932
Fe 0.331 0.000 0.709
Fe 0.331 0.500 0.209
Pt 0.835 0.000 0.204
Pt 0.835 0.500 0.704

=====

(8)
FePt3C after structural relaxation, computed with PBE.

Calculated values
* energy above the lowest structure with this stoichiometry: 1.762 eV per atom
* E: -4.910 eV/atom
* formation energy from the elements: 2.251 eV per atom

abc: 4.572 4.572 4.572
angles: 90.00 90.00 90.00
Last column: magnetic moment on the atom in μB.
Element x y z (fractional)
C 0.500 0.500 0.500  0.27
Fe 0.000 0.000 0.000  2.59
Pt 0.000 0.500 0.000  0.33
Pt 0.000 0.000 0.500  0.51
Pt 0.500 0.000 0.000  0.18

=====

(9)
Fe2PtCS after structural relaxation, computed with PBE.

Calculated values
* E: -5.759 eV/atom
* formation energy without anion corrections: 1.5049 eV/atom

abc: 4.156 4.476 4.156
angles: 90.00 90.00 90.00
Last column: magnetic moment on the atom in μB.
Element x y z (fractional)
C 0.500 0.500 0.500  -0.35
S 0.000 0.000 0.000  -0.01
Fe 0.000 0.000 0.500  2.16
Fe 0.500 0.000 0.000  2.52
Pt 0.000 0.500 0.000  0.08

=====

(10)
ScFePtC2 after structural relaxation, computed with PBE.

Calculated values
* E: -6.962 eV/atom
* formation energy from the elements: 0.894 eV per atom

abc: 3.690 5.208 3.690
angles: 90.00 90.00 90.00
Element x y z (fractional)
Sc 0.000 0.500 0.000
C 0.000 0.000 0.500
C 0.500 0.000 0.000
Fe 0.000 0.000 0.000
Pt 0.500 0.500 0.500

=====

(11)
Sc2FePtC after structural relaxation, computed with PBE.

Calculated values
* E: -7.948 eV/atom
* formation energy from the elements: -0.670 eV per atom

abc: 4.554 4.554 3.605
angles: 90.00 90.00 90.00
Last column: magnetic moment on the atom in μB.
Element x y z (fractional)
Sc 0.000 0.500 0.000  -0.05
Sc 0.500 0.000 0.000  -0.05
C 0.000 0.000 0.000  -0.02
Fe 0.000 0.000 0.500  0.55
Pt 0.500 0.500 0.500  0.07

=====

(12)
ScFe2PtC after structural relaxation, computed with PBE.

Calculated values
* E: -8.003 eV/atom
* formation energy from the elements: -0.299 eV per atom

abc: 3.783 3.783 4.468
angles: 90.00 90.00 90.00
Last column: magnetic moment on the atom in μB.
Element x y z (fractional)
Sc 0.000 0.000 0.500  -0.14
C 0.000 0.000 0.000  -0.09
Fe 0.000 0.500 0.000  1.31
Fe 0.500 0.000 0.000  1.31
Pt 0.500 0.500 0.500  0.06

=====

(13)
SrFe2PtC after structural relaxation, computed with PBE.

Calculated values
* E: -6.468 eV/atom
* formation energy from the elements: 0.307 eV per atom

abc: 4.092 4.479 4.092
angles: 90.00 90.00 90.00
Last column: magnetic moment on the atom in μB.
Element x y z (fractional)
Sr 0.500 0.500 0.500  -0.07
C 0.000 0.000 0.000  -0.07
Fe 0.000 0.000 0.500  2.35
Fe 0.500 0.000 0.000  2.15
Pt 0.000 0.500 0.000  0.11

=====

(14)
Ta2FePtC after structural relaxation, computed with PBE.

Calculated values
* E: -9.859 eV/atom
* formation energy from the elements: -0.372 eV per atom

abc: 4.292 4.292 3.799
angles: 90.00 90.00 90.00
Last column: magnetic moment on the atom in μB.
Element x y z (fractional)
C 0.000 0.000 0.000  0.00
Fe 0.000 0.000 0.500  1.77
Pt 0.500 0.500 0.500  0.04
Ta 0.000 0.500 0.000  -0.03
Ta 0.500 0.000 0.000  -0.03

=====

(15)
TaFe2PtC after structural relaxation, computed with PBE.

Calculated values
* E: -8.975 eV/atom
* formation energy from the elements: -0.166 eV per atom

abc: 3.848 3.848 4.246
angles: 90.00 90.00 90.00
Last column: magnetic moment on the atom in μB.
Element x y z (fractional)
C 0.000 0.000 0.000  -0.01
Fe 0.000 0.500 0.000  1.60
Fe 0.500 0.000 0.000  1.60
Pt 0.500 0.500 0.500  0.04
Ta 0.000 0.000 0.500  -0.10

=====

(16)
Fe2TcPtC after structural relaxation, computed with PBE.

Calculated values
* E: -8.418 eV/atom
* formation energy from the elements: 0.093 eV per atom

abc: 3.920 3.920 4.011
angles: 90.00 90.00 90.00
Last column: magnetic moment on the atom in μB.
Element x y z (fractional)
C 0.000 0.000 0.000  -0.05
Tc 0.000 0.000 0.500  0.18
Pt 0.500 0.500 0.500  0.36
Fe 0.000 0.500 0.000  2.53
Fe 0.500 0.000 0.000  2.53

=====

(17)
FePtWC2 after structural relaxation, computed with PBE.

Calculated values
* E: -6.803 eV/atom
* formation energy from the elements: 2.378 eV per atom

abc: 3.782 5.122 3.782
angles: 90.00 90.00 90.00
Element x y z (fractional)
C 0.000 0.000 0.500
C 0.500 0.000 0.000
W 0.500 0.500 0.500
Pt 0.000 0.000 0.000
Fe 0.000 0.500 0.000

=====

(18)
FePtW2C after structural relaxation, computed with PBE.

Calculated values
* E: -9.867 eV/atom
* formation energy from the elements: 0.060 eV per atom

abc: 4.150 4.150 3.852
angles: 90.00 90.00 90.00
Last column: magnetic moment on the atom in μB.
Element x y z (fractional)
C 0.000 0.000 0.000  0.00
W 0.000 0.500 0.000  0.00
W 0.500 0.000 0.000  0.00
Pt 0.500 0.500 0.500  0.08
Fe 0.000 0.000 0.500  1.80

=====

(19)
Y2FePtC after structural relaxation, computed with PBE.

Calculated values
* E: -7.930 eV/atom
* formation energy from the elements: -0.599 eV per atom

abc: 4.954 4.954 3.641
angles: 90.00 90.00 90.00
Last column: magnetic moment on the atom in μB.
Element x y z (fractional)
Y 0.000 0.500 0.000  -0.06
Y 0.500 0.000 0.000  -0.06
C 0.000 0.000 0.000  -0.03
Fe 0.000 0.000 0.500  0.84
Pt 0.500 0.500 0.500  0.08

=====

(20)
ZnFePtC2 after structural relaxation, computed with PBE.

Calculated values
* E: -4.301 eV/atom
* formation energy from the elements: 2.544 eV per atom

abc: 3.811 4.900 3.811
angles: 90.00 90.00 90.00
Last column: magnetic moment on the atom in μB.
Element x y z (fractional)
C 0.000 0.000 0.500  0.03
C 0.500 0.000 0.000  0.04
Zn 0.000 0.000 0.000  0.01
Fe 0.500 0.500 0.500  0.13
Pt 0.000 0.500 0.000  0.00

=====

no.,magnetic moment (μB/f.u.)
1,0.00
2,2.06
3,0.00
4,3.27
5,1.93
6,1.77
7,0.00
8,4.19
9,4.07
10,0.00
11,0.42
12,2.33
13,4.34
14,1.68
15,3.03
16,5.52
17,0.00
18,1.87
19,0.65
20,0.28